[1]
ErScZnCu: optimized geometry, PBE.

Lattice parameters (Å, degrees): 6.8038 6.8038 6.8038 90.00 90.00 90.00
Space group F-43m (No. 216)
Symmetry-distinct sites (fractional):
Er: 0.0000 0.0000 0.0000 (multiplicity 4)
Sc: 0.0000 0.0000 0.5000 (multiplicity 4)
Zn: 0.2500 0.2500 0.2500 (multiplicity 4)
Cu: 0.2500 0.2500 0.7500 (multiplicity 4)

- DOS(E_F): 1.06 states/eV/atom
- Distance to the lowest polymorph of the same formula: 15 meV per atom
- Calculated formation energy: -0.29 eV per atom

[2]
Er2ScZn12Cu3: optimized geometry, PBE.

Lattice parameters (Å, degrees): 7.6439 7.6439 20.5293 90.00 90.00 120.00
Space group R-3m (No. 166, hexagonal axes)
Symmetry-distinct sites (fractional):
Er: 0.0000 0.0000 0.0864 (multiplicity 6)
Sc: 0.0000 0.0000 0.5000 (multiplicity 3)
Zn: 0.0815 0.5407 0.2719 (multiplicity 18)
Zn: 0.0918 0.5459 0.8761 (multiplicity 18)
Cu: 0.0000 0.5000 0.0000 (multiplicity 9)

- DOS(E_F): 0.34 states/eV/atom
- Calculated formation energy: 0.14 eV per atom

[3]
ErScZnCu: optimized geometry, PBE.

Lattice parameters (Å, degrees): 3.4100 3.4100 6.7487 90.00 90.00 90.00
Space group P4mm (No. 99)
Symmetry-distinct sites (fractional):
Er: 0.0000 0.0000 0.0000 (multiplicity 1)
Sc: 0.0000 0.0000 0.4862 (multiplicity 1)
Zn: 0.5000 0.5000 0.7207 (multiplicity 1)
Cu: 0.5000 0.5000 0.2661 (multiplicity 1)

- DOS(E_F): 0.71 states/eV/atom
- Distance to the lowest polymorph of the same formula: 0 meV per atom
- Calculated formation energy: -0.31 eV per atom

[4]
Er2Cu4Se5: optimized geometry, PBE.

Lattice parameters (Å, degrees): 4.0000 4.0000 49.7273 90.00 90.00 120.00
Space group R-3m (No. 166, hexagonal axes)
Symmetry-distinct sites (fractional):
Er: 0.0000 0.0000 0.1326 (multiplicity 6)
Cu: 0.0000 0.0000 0.3139 (multiplicity 6)
Cu: 0.0000 0.0000 0.4147 (multiplicity 6)
Se: 0.0000 0.0000 0.2347 (multiplicity 6)
Se: 0.0000 0.0000 0.3665 (multiplicity 6)
Se: 0.0000 0.0000 0.5000 (multiplicity 3)

- Formation energy (no corrections): -74 kJ/mol of atoms
- DOS(E_F): 0.48 states/eV/atom

Number 1: total magnetic moment 0.002 μB/atom. Number 2: total magnetic moment 0.000 μB/atom. Number 3: total magnetic moment 0.000 μB/atom. Number 4: total magnetic moment 0.000 μB/atom.